! PBE Ba4YCd5, optimized geometry; values from VASP
&SYSTEM
  ibrav = 0, nat = 10, ntyp = 3
/
ATOMIC_SPECIES
Ba 137.33 Ba.upf
Y 88.91 Y.upf
Cd 112.41 Cd.upf
CELL_PARAMETERS angstrom
4.094 0.000 0.000
0.000 4.094 0.000
0.000 0.000 21.210
ATOMIC_POSITIONS angstrom
Ba 0.000 0.000 3.919
Ba 0.000 0.000 8.380
Ba 0.000 0.000 12.830
Ba 0.000 0.000 17.291
Y 0.000 0.000 0.000
Cd 2.047 2.047 1.597
Cd 2.047 2.047 6.167
Cd 2.047 2.047 10.605
Cd 2.047 2.047 15.043
Cd 2.047 2.047 19.613
! M_tot ... 0.00 μB/cell
! Space group ... P4/mmm


! PBE Ba2YCd2, optimized geometry; values from VASP
&SYSTEM
  ibrav = 0, nat = 5, ntyp = 3
/
ATOMIC_SPECIES
Y 88.91 Y.upf
Ba 137.33 Ba.upf
Cd 112.41 Cd.upf
CELL_PARAMETERS angstrom
-3.430 2.883 2.137
-0.598 -3.375 3.592
3.451 3.190 7.002
ATOMIC_POSITIONS angstrom
Y 0.000 0.000 0.000
Ba -0.997 2.913 6.002
Ba 0.420 -0.215 6.729
Cd -1.044 0.364 3.599
Cd 0.467 2.334 9.132
! Energy above the most stable polymorph in this dataset ... 291.8 meV/atom
! M_tot ... 0.00 μB/cell
! Space group ... I4/mmm


! PBE Ba2YCd10, optimized geometry; values from VASP
&SYSTEM
  ibrav = 0, nat = 26, ntyp = 3
/
ATOMIC_SPECIES
Ba 137.33 Ba.upf
Y 88.91 Y.upf
Cd 112.41 Cd.upf
CELL_PARAMETERS angstrom
-4.055 5.175 0.557
-0.976 -1.471 6.567
7.205 16.904 4.857
ATOMIC_POSITIONS angstrom
Ba 3.823 17.119 7.117
Ba -1.648 3.489 4.864
Ba 1.690 11.542 9.072
Ba 0.484 9.065 2.910
Y 3.115 7.717 5.712
Y 0.000 0.000 0.000
Cd 3.972 9.627 3.203
Cd -1.797 10.980 8.779
Cd 2.167 19.977 8.774
Cd 0.008 0.630 3.207
Cd 1.704 16.968 4.441
Cd 0.470 3.640 7.541
Cd -0.823 2.888 1.304
Cd 3.445 14.820 9.805
Cd -0.333 9.677 6.419
Cd 2.141 13.951 5.896
Cd 2.998 17.719 10.677
Cd -1.270 5.788 2.177
Cd 2.507 10.931 5.563
Cd 0.034 6.656 6.086
Cd -3.170 6.259 6.767
Cd 5.345 14.348 5.215
Cd 1.589 5.665 3.820
Cd 0.586 14.943 8.162
Cd -2.279 7.942 4.575
Cd 4.454 12.666 7.407
! M_tot ... 0.00 μB/cell
! Space group ... P2_1/c


! PBE BaYCd3, optimized geometry; values from VASP
&SYSTEM
  ibrav = 0, nat = 5, ntyp = 3
/
ATOMIC_SPECIES
Y 88.91 Y.upf
Ba 137.33 Ba.upf
Cd 112.41 Cd.upf
CELL_PARAMETERS angstrom
-1.130 -1.464 5.634
1.762 -5.556 -1.090
5.549 1.466 1.493
ATOMIC_POSITIONS angstrom
Y 3.090 -2.777 3.019
Ba 0.000 0.000 0.000
Cd 0.881 -2.778 -0.545
Cd 2.774 0.733 0.747
Cd -0.565 -0.732 2.817
! Energy above the most stable polymorph in this dataset ... 623.3 meV/atom
! M_tot ... 0.00 μB/cell
! Space group ... Pm-3m


! PBE Ba2YCd2, optimized geometry; values from VASP
&SYSTEM
  ibrav = 0, nat = 10, ntyp = 3
/
ATOMIC_SPECIES
Y 88.91 Y.upf
Ba 137.33 Ba.upf
Cd 112.41 Cd.upf
CELL_PARAMETERS angstrom
9.783 0.000 0.000
0.000 9.783 0.000
0.000 0.000 3.858
ATOMIC_POSITIONS angstrom
Y 0.000 0.000 0.000
Y 4.892 4.892 0.000
Ba 3.525 8.417 0.000
Ba 8.417 6.258 0.000
Ba 6.258 1.367 0.000
Ba 1.367 3.525 0.000
Cd 1.556 6.448 1.929
Cd 6.448 8.227 1.929
Cd 8.227 3.335 1.929
Cd 3.335 1.556 1.929
! Energy above the most stable polymorph in this dataset ... 148.3 meV/atom
! M_tot ... 0.00 μB/cell
! Space group ... P4/mbm


! PBE BaYZnCd, optimized geometry; values from VASP
&SYSTEM
  ibrav = 0, nat = 4, ntyp = 4
/
ATOMIC_SPECIES
Y 88.91 Y.upf
Zn 65.41 Zn.upf
Ba 137.33 Ba.upf
Cd 112.41 Cd.upf
CELL_PARAMETERS angstrom
-4.081 3.738 0.245
-4.938 -1.139 -2.237
-4.382 -0.894 3.269
ATOMIC_POSITIONS angstrom
Y -10.051 1.279 0.958
Zn -6.701 0.853 0.639
Ba -3.350 0.426 0.319
Cd 0.000 0.000 0.000
! M_tot ... 0.00 μB/cell
! Space group ... F-43m


! PBE Ba3ZnCd, optimized geometry; values from VASP
&SYSTEM
  ibrav = 0, nat = 10, ntyp = 3
/
ATOMIC_SPECIES
Ba 137.33 Ba.upf
Zn 65.41 Zn.upf
Cd 112.41 Cd.upf
CELL_PARAMETERS angstrom
-4.128 -1.972 -3.842
4.123 -3.387 -2.692
-4.601 -9.864 5.363
ATOMIC_POSITIONS angstrom
Ba -2.758 -3.826 -2.728
Ba -4.522 -9.999 2.336
Ba -3.640 -6.913 -0.196
Ba 1.368 -4.530 -2.156
Ba -4.524 -12.676 -0.933
Ba 0.486 -7.617 0.377
Zn -1.109 -6.963 -2.890
Zn -6.173 -9.539 -0.772
Cd -2.039 -10.216 -0.221
Cd -1.115 -4.313 0.401
! Energy above the most stable polymorph in this dataset ... 0.0 meV/atom
! M_tot ... 0.00 μB/cell
! Space group ... Cmcm


! PBE Ba2ZnCd, optimized geometry; values from VASP
&SYSTEM
  ibrav = 0, nat = 4, ntyp = 3
/
ATOMIC_SPECIES
Zn 65.41 Zn.upf
Ba 137.33 Ba.upf
Cd 112.41 Cd.upf
CELL_PARAMETERS angstrom
-4.945 -1.690 4.443
-1.865 -4.363 4.954
0.786 1.952 5.473
ATOMIC_POSITIONS angstrom
Zn -1.223 -0.727 3.571
Ba -6.544 -5.773 9.259
Ba -4.697 -3.264 11.245
Cd -3.383 -2.441 7.627
! Energy above the most stable polymorph in this dataset ... 57.6 meV/atom
! M_tot ... 0.00 μB/cell
! Space group ... Cm


! PBE BaZn2Cd2, optimized geometry; values from VASP
&SYSTEM
  ibrav = 0, nat = 5, ntyp = 3
/
ATOMIC_SPECIES
Zn 65.41 Zn.upf
Ba 137.33 Ba.upf
Cd 112.41 Cd.upf
CELL_PARAMETERS angstrom
4.643 0.000 0.000
0.000 4.643 0.000
2.322 2.322 5.970
ATOMIC_POSITIONS angstrom
Zn 2.322 2.322 1.325
Zn 4.643 4.643 4.646
Ba 0.000 0.000 0.000
Cd 4.643 2.322 2.985
Cd 2.322 4.643 2.985
! Energy above the most stable polymorph in this dataset ... 0.0 meV/atom
! M_tot ... 0.00 μB/cell
! Space group ... I4/mmm


! PBE BaZnCd6, optimized geometry; values from VASP
&SYSTEM
  ibrav = 0, nat = 8, ntyp = 3
/
ATOMIC_SPECIES
Ba 137.33 Ba.upf
Zn 65.41 Zn.upf
Cd 112.41 Cd.upf
CELL_PARAMETERS angstrom
-0.073 -3.647 3.022
-0.797 -2.970 -3.603
9.320 -1.126 -1.134
ATOMIC_POSITIONS angstrom
Ba 0.000 0.000 0.000
Zn 4.660 -0.563 -0.567
Cd 6.126 -2.568 0.761
Cd 5.764 -2.229 -2.551
Cd 0.980 -3.479 -0.462
Cd 7.470 -4.263 -1.252
Cd 2.759 -1.867 -2.186
Cd 3.121 -2.205 1.127
! M_tot ... 0.00 μB/cell
! Space group ... P4/mmm


! PBE BaZn3Cd9, optimized geometry; values from VASP
&SYSTEM
  ibrav = 0, nat = 13, ntyp = 3
/
ATOMIC_SPECIES
Ba 137.33 Ba.upf
Zn 65.41 Zn.upf
Cd 112.41 Cd.upf
CELL_PARAMETERS angstrom
-4.579 -3.096 1.627
-2.272 -4.717 -5.535
2.039 -6.615 3.355
ATOMIC_POSITIONS angstrom
Ba 0.000 0.000 0.000
Zn -3.426 -3.906 -1.954
Zn 1.020 -3.308 1.677
Zn -1.270 -4.855 2.491
Cd -3.468 -11.015 -0.567
Cd -1.344 -3.413 0.014
Cd -1.264 -7.735 2.219
Cd -3.548 -6.693 -2.772
Cd -3.018 -6.008 0.323
Cd -1.794 -8.419 -0.875
Cd -5.315 -8.525 -0.785
Cd 0.503 -5.902 0.232
Cd -1.136 -2.358 -2.767
! M_tot ... 0.00 μB/cell
! Space group ... C2/m


! PBE BaZn3Cd, optimized geometry; values from VASP
&SYSTEM
  ibrav = 0, nat = 5, ntyp = 3
/
ATOMIC_SPECIES
Zn 65.41 Zn.upf
Ba 137.33 Ba.upf
Cd 112.41 Cd.upf
CELL_PARAMETERS angstrom
-4.970 1.925 -3.612
-4.081 -2.772 4.137
-0.318 5.483 3.360
ATOMIC_POSITIONS angstrom
Zn -2.041 -1.386 2.068
Zn -0.159 2.742 1.680
Zn -2.485 0.963 -1.806
Ba 0.000 0.000 0.000
Cd -4.685 2.318 1.942
! Energy above the most stable polymorph in this dataset ... 860.7 meV/atom
! M_tot ... 0.00 μB/cell
! Space group ... Pm-3m


Number 1: formation energy -0.304 eV/atom. Number 2: formation energy 0.176 eV/atom. Number 3: formation energy -0.184 eV/atom. Number 4: formation energy 0.778 eV/atom. Number 5: formation energy 0.033 eV/atom. Number 6: formation energy -0.138 eV/atom. Number 7: formation energy -0.201 eV/atom. Number 8: formation energy -0.176 eV/atom. Number 9: formation energy -0.225 eV/atom. Number 10: formation energy -0.158 eV/atom. Number 11: formation energy -0.115 eV/atom. Number 12: formation energy 0.757 eV/atom.